The following is a DFT calculation (GGA-PBE) of a relaxed structure of P2HPdAu.

Structure (CIF):
```
data_P2HPdAu
_symmetry_space_group_name_H-M 'P 1'
_symmetry_Int_Tables_number 1
_symmetry_space_group_name_Hall 'P 1'
_cell_length_a 3.8498
_cell_length_b 4.6241
_cell_length_c 4.9911
_cell_angle_alpha 89.06
_cell_angle_beta 88.17
_cell_angle_gamma 85.50
loop_
_atom_site_label
_atom_site_type_symbol
_atom_site_fract_x
_atom_site_fract_y
_atom_site_fract_z
Pd1 Pd 0.4406 0.4200 0.9306
Au1 Au 0.7507 0.9215 0.1618
H1 H 0.0207 0.0286 0.6284
P1 P 0.9632 0.3365 0.6539
P2 P 0.9408 0.4287 0.2164
```

Results
Energy above the lowest structure with this stoichiometry (meV per atom): 0
N(E_F) (states/eV per cell): 0.604